[1]
CoPOs4: relaxed, PBE.

Results
**ΔH_f (0 K)**: 1.1471 eV/atom

Cell: 7.2498 7.2498 7.2498 Å, 90.00 90.00 90.00°
Space group F-43m (No. 216)
Inequivalent atoms, fractional coordinates:
Co 0.0000 0.0000 0.0000 x4
P 0.2500 0.2500 0.7500 x4
Os 0.1251 0.1251 0.3749 x16


[2]
KLa2Zn: relaxed, PBE.

Results
**Offset from the most stable computed form**: 0.51 eV per formula unit
**ΔH_f (0 K)**: 0.1425 eV/atom

Cell: 3.8221 3.8221 35.2425 Å, 90.00 90.00 120.00°
Space group R3m (No. 160, hexagonal axes)
Inequivalent atoms, fractional coordinates:
K 0.0000 0.0000 0.0000 x3
La 0.0000 0.0000 0.5238 x3
La 0.0000 0.0000 0.7751 x3
Zn 0.0000 0.0000 0.2556 x3


[3]
Nd6Ni2PdBr3: relaxed, PBE.

Results
**Formation energy from raw total energies**: -863 meV per atom

Cell: 19.5324 4.1369 9.1015 Å, 90.00 110.74 90.00°
Space group C2/m (No. 12)
Inequivalent atoms, fractional coordinates:
Nd 0.0170 0.0000 0.2318 x4
Nd 0.1587 0.5000 0.1234 x4
Nd 0.1798 0.5000 0.5541 x4
Ni 0.1676 0.0000 0.3370 x4
Pd 0.0000 0.5000 0.0000 x2
Br 0.0000 0.5000 0.5000 x2
Br 0.1665 0.0000 0.8326 x4


[4]
RbGe2Au2: relaxed, PBE.

Results
**Offset from the most stable computed form**: 0.00 eV per formula unit
**ΔH_f (0 K)**: -0.1769 eV/atom

Cell: 6.1465 7.1989 6.7649 Å, 90.00 111.53 90.00°
Space group C2/m (No. 12)
Inequivalent atoms, fractional coordinates:
Rb 0.0000 0.0000 0.0000 x2
Ge 0.1154 0.5000 0.3386 x4
Au 0.0000 0.2003 0.5000 x4


[5]
Ho2TlHg8: relaxed, PBE.

Results
**ΔH_f (0 K)**: -0.1807 eV/atom

Cell: 4.9993 6.9862 16.1428 Å, 90.00 90.00 90.00°
Space group Immm (No. 71)
Inequivalent atoms, fractional coordinates:
Ho 0.0000 0.0000 0.1958 x4
Tl 0.0000 0.0000 0.5000 x2
Hg 0.0000 0.2076 0.0000 x4
Hg 0.0000 0.2734 0.3537 x8
Hg 0.0000 0.5000 0.1693 x4


[6]
Sr4ZnCu: relaxed, PBE.

Results
**Offset from the most stable computed form**: 4.67 eV per formula unit
**ΔH_f (0 K)**: 0.7190 eV/atom

Cell: 10.3226 10.3226 10.3226 Å, 90.00 90.00 90.00°
Space group F-43m (No. 216)
Inequivalent atoms, fractional coordinates:
Sr 0.1250 0.1250 0.1250 x16
Zn 0.2500 0.2500 0.7500 x4
Cu 0.0000 0.0000 0.5000 x4


[7]
Ac3Cd2Hg2: relaxed, PBE.

Results
**ΔH_f (0 K)**: -0.2473 eV/atom

Cell: 5.6091 5.6091 27.7943 Å, 90.00 90.00 120.00°
Space group R-3m (No. 166, hexagonal axes)
Inequivalent atoms, fractional coordinates:
Ac 0.0000 0.0000 0.0000 x3
Ac 0.0000 0.0000 0.2408 x6
Cd 0.0000 0.0000 0.3764 x6
Hg 0.0000 0.0000 0.1214 x6


[8]
ZrNiB: relaxed, PBE.

Results
**ΔH_f (0 K)**: -0.4536 eV/atom

Cell: 3.6523 3.6523 3.3606 Å, 90.00 90.00 120.00°
Space group P-6m2 (No. 187)
Inequivalent atoms, fractional coordinates:
Zr 0.0000 0.0000 0.0000 x1
Ni 0.3333 0.6667 0.5000 x1
B 0.6667 0.3333 0.5000 x1


[9]
HfCrGa2: relaxed, PBE.

Results
**Offset from the most stable computed form**: 0.00 eV per formula unit
**ΔH_f (0 K)**: -0.3209 eV/atom

Cell: 9.9910 8.5272 9.1099 Å, 90.00 90.00 90.00°
Space group Pnma (No. 62)
Inequivalent atoms, fractional coordinates:
Hf 0.0481 0.0205 0.1664 x8
Hf 0.1818 0.7500 0.6625 x4
Cr 0.0000 0.0000 0.5000 x4
Cr 0.2421 0.5015 0.4240 x8
Ga 0.0922 0.7500 0.3599 x4
Ga 0.1016 0.2500 0.3810 x4
Ga 0.1179 0.2500 0.9353 x4
Ga 0.1299 0.7500 0.9794 x4
Ga 0.1807 0.0764 0.6771 x8


[10]
SmTh2Pa: relaxed, PBE.

Results
**Offset from the most stable computed form**: 0.09 eV per formula unit
**ΔH_f (0 K)**: 0.1154 eV/atom

Cell: 3.5111 3.5111 34.5251 Å, 90.00 90.00 120.00°
Space group R3m (No. 160, hexagonal axes)
Inequivalent atoms, fractional coordinates:
Sm 0.0000 0.0000 0.0000 x3
Th 0.0000 0.0000 0.5817 x3
Th 0.0000 0.0000 0.7557 x3
Pa 0.0000 0.0000 0.1690 x3


[11]
AcDy4Hg5: relaxed, PBE.

Results
**ΔH_f (0 K)**: -0.4694 eV/atom

Cell: 3.7640 3.7640 19.1311 Å, 90.00 90.00 90.00°
Space group P4/mmm (No. 123)
Inequivalent atoms, fractional coordinates:
Ac 0.0000 0.0000 0.0000 x1
Dy 0.0000 0.0000 0.2118 x2
Dy 0.0000 0.0000 0.4042 x2
Hg 0.5000 0.5000 0.1202 x2
Hg 0.5000 0.5000 0.3080 x2
Hg 0.5000 0.5000 0.5000 x1


[12]
CrRe4Ag: relaxed, PBE.

Results
**ΔH_f (0 K)**: 0.5933 eV/atom

Cell: 7.3172 7.3172 7.3172 Å, 90.00 90.00 90.00°
Space group F-43m (No. 216)
Inequivalent atoms, fractional coordinates:
Cr 0.0000 0.0000 0.0000 x4
Re 0.1245 0.1245 0.6245 x16
Ag 0.2500 0.2500 0.2500 x4


Computed M_tot, in the same sequence as the records: 12.2, 0.0, 0.0, 0.0, 0.0, 0.0, 0.0, 0.0, 4.8, 0.0, 0.5, 6.8 Bohr magnetons per cell.